Entry 1:
GGA-PBE Dy3ThSc3, optimized geometry; Fermi-level density of states = 10.0 states/eV/f.u.; relative energy among the computed polymorphs = 180 meV per atom; E_form = 215 meV per atom
1.0
6.5711 0.7312 0.1078
-2.2729 6.2087 0.1078
-0.5895 -0.9517 9.6901
Sc Dy Th
6 6 2
Direct
0.9894 0.9894 0.2186 Sc
0.0106 0.0106 0.7814 Sc
0.9149 0.5133 0.7254 Sc
0.0851 0.4867 0.2746 Sc
0.4867 0.0851 0.2746 Sc
0.5133 0.9149 0.7254 Sc
0.1591 0.8409 0.5000 Dy
0.7707 0.2293 0.0000 Dy
0.6256 0.6256 0.3554 Dy
0.2293 0.7707 0.0000 Dy
0.3744 0.3744 0.6446 Dy
0.8409 0.1591 0.5000 Dy
0.6981 0.6981 0.9715 Th
0.3019 0.3019 0.0285 Th

---

Entry 2:
GGA-PBE Dy6ThSc4, optimized geometry; Fermi-level density of states = 18.0 states/eV/f.u.; relative energy among the computed polymorphs = 206 meV per atom; E_form = 339 meV per atom
1.0
-2.1063 2.0207 5.6733
-5.8853 -1.9662 -1.4847
5.6449 -7.4117 1.1481
Dy Th Sc
6 1 4
Direct
0.5000 0.0000 0.0000 Dy
0.0000 0.5000 0.0000 Dy
0.4888 0.8711 0.3599 Dy
0.8711 0.4888 0.3599 Dy
0.5112 0.5112 0.6401 Dy
0.1289 0.1289 0.6401 Dy
0.5000 0.5000 0.0000 Th
0.3054 0.3054 0.2471 Sc
0.9416 0.9416 0.2471 Sc
0.6946 0.0584 0.7529 Sc
0.0584 0.6946 0.7529 Sc

---

Entry 3:
GGA-PBE DyTh4Sc7, optimized geometry; Fermi-level density of states = 19.7 states/eV/f.u.; E_form = 274 meV per atom
1.0
5.5594 0.0000 0.0000
2.7797 10.7361 -0.4805
2.7797 0.0850 5.7187
Sc Th Dy
7 4 1
Direct
0.9607 0.3736 0.7050 Sc
0.6413 0.4868 0.2305 Sc
0.5000 0.0000 0.0000 Sc
0.7912 0.9161 0.5014 Sc
0.3587 0.5132 0.7695 Sc
0.0393 0.6264 0.2950 Sc
0.2088 0.0839 0.4986 Sc
0.6232 0.2281 0.5254 Th
0.3768 0.7719 0.4746 Th
0.7024 0.7058 0.8895 Th
0.2976 0.2942 0.1105 Th
0.0000 0.0000 0.0000 Dy

---

Entry 4:
GGA-PBE Dy8ThSc4, optimized geometry; Fermi-level density of states = 18.9 states/eV/f.u.; E_form = 292 meV per atom
1.0
-5.2010 2.0696 -3.6464
2.8388 -5.9095 -1.2836
-3.9658 -3.9732 9.5212
Sc Dy Th
4 8 1
Direct
0.5000 0.0000 0.0000 Sc
0.5000 0.5000 0.0000 Sc
0.0000 0.5000 0.0000 Sc
0.0000 0.0000 0.0000 Sc
0.5987 0.7993 0.3980 Dy
0.4970 0.2485 0.2550 Dy
0.0065 0.7580 0.2550 Dy
0.5030 0.7515 0.7450 Dy
0.9935 0.2420 0.7450 Dy
0.0065 0.2485 0.2550 Dy
0.4013 0.2007 0.6019 Dy
0.9935 0.7515 0.7450 Dy
0.0000 0.5000 0.5000 Th

---

Entry 5:
GGA-PBE Dy4Th5Sc, optimized geometry; Fermi-level density of states = 15.5 states/eV/f.u.; E_form = 134 meV per atom
1.0
-2.2389 2.3346 -1.1116
-3.7399 1.3388 10.3448
5.8637 5.1445 4.2565
Sc Dy Th
1 4 5
Direct
0.5000 0.0000 0.0000 Sc
0.6956 0.9113 0.3912 Dy
0.0926 0.1882 0.1852 Dy
0.9074 0.8118 0.8148 Dy
0.3044 0.0887 0.6088 Dy
0.1967 0.4060 0.3934 Th
0.1071 0.7099 0.2142 Th
0.8033 0.5940 0.6066 Th
0.5000 0.5000 0.0000 Th
0.8929 0.2901 0.7858 Th

---

Entry 6:
GGA-PBE Dy2ThSc12, optimized geometry; Fermi-level density of states = 25.1 states/eV/f.u.; E_form = 136 meV per atom
1.0
6.0959 -1.4401 -0.1158
-1.4401 6.0959 -0.1158
-0.5788 -0.5788 22.3841
Sc Dy Th
24 4 2
Direct
0.0839 0.0841 0.3343 Sc
0.6421 0.1421 0.5716 Sc
0.8579 0.3579 0.4284 Sc
0.7277 0.7275 0.9189 Sc
0.1424 0.6424 0.5719 Sc
0.9159 0.9161 0.6657 Sc
0.9474 0.9477 0.7966 Sc
0.8618 0.8621 0.4469 Sc
0.3621 0.3618 0.4469 Sc
0.5526 0.5523 0.2034 Sc
0.6382 0.6379 0.5531 Sc
0.7167 0.2167 0.8681 Sc
0.2275 0.2277 0.9189 Sc
0.0523 0.0526 0.2034 Sc
0.7833 0.2833 0.1319 Sc
0.4161 0.4159 0.6657 Sc
0.7723 0.7725 0.0811 Sc
0.2725 0.2723 0.0811 Sc
0.5841 0.5839 0.3343 Sc
0.2834 0.7834 0.1321 Sc
0.1379 0.1382 0.5531 Sc
0.3576 0.8576 0.4281 Sc
0.2166 0.7166 0.8679 Sc
0.4477 0.4474 0.7966 Sc
0.4305 0.9305 0.7246 Dy
0.0695 0.5695 0.2754 Dy
0.9306 0.4306 0.7245 Dy
0.5694 0.0694 0.2755 Dy
0.5000 0.0000 0.9999 Th
0.0000 0.5000 0.0001 Th

---

Entry 7:
GGA-PBE Dy2ThSc, optimized geometry; Fermi-level density of states = 5.9 states/eV/f.u.; relative energy among the computed polymorphs = 23 meV per atom; E_form = 55 meV per atom
1.0
-2.0565 2.0909 -1.8917
-1.9723 0.6065 2.8145
5.6957 7.7098 2.3299
Th Dy Sc
1 2 1
Direct
0.5000 0.5000 0.5000 Th
0.0000 0.0000 0.2431 Dy
0.0000 0.0000 0.7569 Dy
0.5000 0.5000 0.0000 Sc

---

Entry 8:
GGA-PBE Dy12ThSc2, optimized geometry; Fermi-level density of states = 22.0 states/eV/f.u.; E_form = 121 meV per atom
1.0
5.8222 -0.9955 -1.0003
-0.9955 5.8222 -1.0003
-2.9621 -2.9621 29.9573
Sc Th Dy
4 2 24
Direct
0.5470 0.0470 0.7418 Sc
0.0470 0.5470 0.7419 Sc
0.9530 0.4530 0.2582 Sc
0.4530 0.9530 0.2581 Sc
0.5000 0.0000 0.0000 Th
0.0000 0.5000 0.0000 Th
0.2832 0.2832 0.4473 Dy
0.2702 0.7702 0.8692 Dy
0.3465 0.3465 0.1973 Dy
0.8465 0.8465 0.1973 Dy
0.8860 0.8860 0.9350 Dy
0.6535 0.6535 0.8027 Dy
0.3305 0.8305 0.6178 Dy
0.3860 0.3860 0.9350 Dy
0.4379 0.4379 0.6794 Dy
0.2298 0.7298 0.1308 Dy
0.7298 0.2298 0.1308 Dy
0.6140 0.6140 0.0650 Dy
0.1535 0.1535 0.8027 Dy
0.7168 0.7168 0.5527 Dy
0.1140 0.1140 0.0650 Dy
0.9379 0.9379 0.6794 Dy
0.6695 0.1695 0.3822 Dy
0.8305 0.3305 0.6178 Dy
0.0621 0.0621 0.3206 Dy
0.1695 0.6695 0.3822 Dy
0.7702 0.2702 0.8692 Dy
0.7832 0.7832 0.4473 Dy
0.5621 0.5621 0.3206 Dy
0.2168 0.2168 0.5527 Dy

---

Entry 9:
GGA-PBE Dy2Th3Sc8, optimized geometry; Fermi-level density of states = 22.1 states/eV/f.u.; E_form = 174 meV per atom
1.0
5.6957 0.0000 0.0001
0.0000 10.8350 0.0000
-2.3680 -5.4175 5.8231
Th Sc Dy
3 8 2
Direct
0.0000 0.2424 0.0000 Th
0.5000 0.0000 0.0000 Th
0.0000 0.7576 0.0000 Th
0.3170 0.0766 0.6473 Sc
0.6830 0.9234 0.3527 Sc
0.9335 0.8373 0.6746 Sc
0.0665 0.1627 0.3254 Sc
0.3170 0.5706 0.6473 Sc
0.7661 0.5679 0.1358 Sc
0.2339 0.4321 0.8642 Sc
0.6830 0.4294 0.3527 Sc
0.3377 0.6997 0.3994 Dy
0.6623 0.3003 0.6006 Dy

---

Entry 10:
GGA-PBE DyTh2Sc4, optimized geometry; Fermi-level density of states = 8.9 states/eV/f.u.; relative energy among the computed polymorphs = 0 meV per atom; E_form = 188 meV per atom
1.0
-2.2098 -2.4809 0.3876
1.3196 0.4166 10.6564
-16.2868 14.7319 1.4409
Sc Th Dy
16 8 4
Direct
0.2484 0.7500 0.7610 Sc
0.7469 0.1171 0.4955 Sc
0.2484 0.2500 0.7390 Sc
0.2508 0.0001 0.2500 Sc
0.2468 0.6171 0.5045 Sc
0.7516 0.7500 0.2610 Sc
0.7492 0.9999 0.7500 Sc
0.2531 0.3829 0.9955 Sc
0.7492 0.4999 0.7500 Sc
0.2531 0.8829 0.5045 Sc
0.2468 0.1171 0.9955 Sc
0.2508 0.5001 0.2500 Sc
0.7532 0.8829 0.0045 Sc
0.7532 0.3829 0.4955 Sc
0.7516 0.2500 0.2390 Sc
0.7469 0.6171 0.0045 Sc
0.2450 0.0689 0.6225 Th
0.7448 0.0690 0.1225 Th
0.7448 0.5690 0.3775 Th
0.2450 0.5689 0.8775 Th
0.2552 0.4310 0.6225 Th
0.2552 0.9310 0.8775 Th
0.7550 0.4311 0.1225 Th
0.7550 0.9311 0.3775 Th
0.7492 0.7500 0.6271 Dy
0.7492 0.2500 0.8729 Dy
0.2508 0.7500 0.1271 Dy
0.2508 0.2500 0.3729 Dy

---

Entry 11:
GGA-PBE Dy7ThSc3, optimized geometry; Fermi-level density of states = 19.5 states/eV/f.u.; relative energy among the computed polymorphs = 0 meV per atom; E_form = 150 meV per atom
1.0
9.2104 -2.6464 1.2049
-5.6569 7.7352 1.2049
1.4336 2.0530 12.7569
Dy Th Sc
14 2 6
Direct
0.9156 0.0994 0.2513 Dy
0.4502 0.1253 0.9631 Dy
0.5148 0.5148 0.2474 Dy
0.8747 0.5498 0.0369 Dy
0.5498 0.8747 0.0369 Dy
0.5506 0.8757 0.5385 Dy
0.9006 0.0844 0.7487 Dy
0.1253 0.4502 0.9631 Dy
0.4852 0.4852 0.7526 Dy
0.0994 0.9156 0.2513 Dy
0.8757 0.5506 0.5385 Dy
0.4494 0.1243 0.4615 Dy
0.0844 0.9006 0.7487 Dy
0.1243 0.4494 0.4615 Dy
0.5000 0.5000 0.0000 Th
0.5000 0.5000 0.5000 Th
0.5047 0.0001 0.2496 Sc
0.9999 0.4953 0.7504 Sc
0.0001 0.5047 0.2496 Sc
0.0000 0.0000 0.5000 Sc
0.4953 0.9999 0.7504 Sc
0.0000 0.0000 0.0000 Sc

---

Entry 12:
GGA-PBE DyTh6Sc2, optimized geometry; Fermi-level density of states = 16.4 states/eV/f.u.; relative energy among the computed polymorphs = 0 meV per atom; E_form = 93 meV per atom
1.0
3.4911 0.0000 0.0000
-1.7456 3.0234 0.0000
0.0000 0.0000 26.3239
Th Sc Dy
6 2 1
Direct
0.3333 0.6667 0.5637 Th
0.6667 0.3333 0.8869 Th
0.3333 0.6667 0.2251 Th
0.6667 0.3333 0.1131 Th
0.3333 0.6667 0.4363 Th
0.3333 0.6667 0.7749 Th
0.6667 0.3333 0.6684 Sc
0.6667 0.3333 0.3316 Sc
0.3333 0.6667 0.0000 Dy